DFT (PBE-GGA) results for a relaxed structure of Sm6Y12Cd.

```
Sm6Y12Cd
1.0
-6.025 6.021 -0.519
-5.678 -5.121 3.791
2.140 3.038 7.683
Y Cd Sm
12 1 6
direct
0.984 0.821 0.637
0.016 0.179 0.363
0.781 0.537 0.437
0.363 0.016 0.179
0.637 0.984 0.821
0.463 0.563 0.219
0.821 0.637 0.984
0.537 0.437 0.781
0.179 0.363 0.016
0.219 0.463 0.563
0.563 0.219 0.463
0.437 0.781 0.537
0.000 0.000 0.000
0.294 0.738 0.905
0.738 0.905 0.294
0.706 0.262 0.095
0.262 0.095 0.706
0.905 0.294 0.738
0.095 0.706 0.262
```

Output
Total DFT energy (no corrections) ... -5.53 eV per atom
Relative energy among the computed polymorphs ... 0.0 meV per atom
DOS(E_F) ... 28.379 states/eV/f.u.
Calculated formation energy ... 168 kJ/mol of formula units

=====

DFT (PBE-GGA) results for a relaxed structure of SmY3Cd6.

```
SmY3Cd6
1.0
5.202 0.000 0.000
0.000 8.808 -2.698
0.000 0.185 11.129
Cd Y Sm
12 6 2
direct
0.250 0.846 0.304
0.750 0.855 0.804
0.750 0.754 0.499
0.750 0.154 0.696
0.250 0.145 0.196
0.750 0.548 0.905
0.250 0.053 0.903
0.250 0.653 0.707
0.750 0.347 0.293
0.250 0.452 0.095
0.250 0.246 0.501
0.750 0.947 0.097
0.750 0.650 0.205
0.750 0.472 0.608
0.250 0.528 0.392
0.750 0.238 0.000
0.250 0.762 0.000
0.250 0.350 0.795
0.750 0.059 0.391
0.250 0.941 0.609
```

Output
Total DFT energy (no corrections) ... -3.27 eV per atom
DOS(E_F) ... 8.032 states/eV/f.u.
Calculated formation energy ... -298 kJ/mol of formula units

=====

DFT (PBE-GGA) results for a relaxed structure of Sm3Y3Cd.

```
Sm3Y3Cd
1.0
-0.942 2.038 5.128
2.602 -8.328 3.787
6.495 6.785 -1.502
Cd Sm Y
2 6 6
direct
0.750 0.333 0.667
0.250 0.667 0.333
0.750 0.893 0.521
0.750 0.479 0.371
0.250 0.371 0.893
0.250 0.107 0.479
0.750 0.629 0.107
0.250 0.521 0.629
0.250 0.241 0.180
0.750 0.759 0.820
0.250 0.938 0.758
0.750 0.180 0.939
0.250 0.820 0.061
0.750 0.062 0.242
```

Output
Total DFT energy (no corrections) ... -4.96 eV per atom
DOS(E_F) ... 10.916 states/eV/f.u.
Calculated formation energy ... -23 kJ/mol of formula units

=====

DFT (PBE-GGA) results for a relaxed structure of SmY4Cd.

```
SmY4Cd
1.0
6.319 -0.673 0.000
-2.504 8.624 0.000
-1.908 -3.975 7.107
Sm Y Cd
2 8 2
direct
0.345 0.595 0.189
0.655 0.405 0.811
0.364 0.910 0.621
0.771 0.399 0.232
0.229 0.601 0.768
0.636 0.090 0.379
0.039 0.167 0.768
0.961 0.833 0.232
0.757 0.711 0.621
0.243 0.289 0.379
0.250 0.000 0.000
0.750 0.000 0.000
```

Output
Total DFT energy (no corrections) ... -5.25 eV per atom
Relative energy among the computed polymorphs ... 94.5 meV per atom
DOS(E_F) ... 9.263 states/eV/f.u.
Calculated formation energy ... -3 kJ/mol of formula units

=====

DFT (PBE-GGA) results for a relaxed structure of Sm6Y8Cd.

```
Sm6Y8Cd
1.0
6.263 0.000 0.000
0.000 8.279 -4.780
0.000 0.000 9.559
Sm Cd Y
6 1 8
direct
0.307 0.091 0.457
0.693 0.634 0.091
0.693 0.457 0.366
0.693 0.909 0.543
0.307 0.366 0.909
0.307 0.543 0.634
0.500 0.000 0.000
0.803 0.738 0.778
0.197 0.960 0.738
0.811 0.333 0.667
0.197 0.262 0.222
0.189 0.667 0.333
0.803 0.040 0.262
0.803 0.222 0.960
0.197 0.778 0.040
```

Output
Total DFT energy (no corrections) ... -5.32 eV per atom
DOS(E_F) ... 20.159 states/eV/f.u.
Calculated formation energy ... 117 kJ/mol of formula units

=====

DFT (PBE-GGA) results for a relaxed structure of SmYCd4.

```
SmYCd4
1.0
3.303 1.059 0.008
1.788 5.823 -0.042
-0.047 0.077 8.664
Cd Y Sm
4 1 1
direct
0.501 0.997 0.829
0.501 0.997 0.167
0.001 0.497 0.663
0.002 0.497 0.333
0.001 0.997 0.498
0.501 0.497 0.998
```

Output
Total DFT energy (no corrections) ... -2.81 eV per atom
Relative energy among the computed polymorphs ... 0.0 meV per atom
DOS(E_F) ... 4.372 states/eV/f.u.
Calculated formation energy ... -195 kJ/mol of formula units

=====

- Among the records above, which one has the highest total DFT energy (no corrections)?
  SmYCd4

=====

- Among the records above, which one has the lowest total DFT energy (no corrections)?
  Sm6Y12Cd